No. 1
# Pr2ErCu12Ni3 PBE-GGA optimized geometry
data_Pr2ErCu12Ni3
_cell_length_a 6.3479
_cell_length_b 6.3479
_cell_length_c 26.4776
_cell_angle_alpha 90.00
_cell_angle_beta 90.00
_cell_angle_gamma 120.00
_space_group_name_H-M_alt 'R -3 m'
_space_group_IT_number 166
_space_group_name_Hall '-R 3 2"'
loop_
_atom_site_label
_atom_site_type_symbol
_atom_site_fract_x
_atom_site_fract_y
_atom_site_fract_z
Pr1 Pr 0.0000 0.0000 0.1386
Er1 Er 0.0000 0.0000 0.5000
Cu1 Cu 0.0600 0.5300 0.9051
Cu2 Cu 0.0783 0.5391 0.6262
Ni1 Ni 0.0000 0.5000 0.0000
# Energy relative to the elements (eV/atom): 0.243

***

No. 2
# Pu6ZnPt5 PBE-GGA optimized geometry
data_Pu6ZnPt5
_cell_length_a 5.149
_cell_length_b 7.036
_cell_length_c 8.233
_cell_angle_alpha 115.21
_cell_angle_beta 104.68
_cell_angle_gamma 90.81
_space_group_name_H-M_alt 'P -1'
_space_group_IT_number 2
loop_
_space_group_symop_operation_xyz
'x,y,z'
'-x,-y,-z'
loop_
_atom_site_label
_atom_site_type_symbol
_atom_site_fract_x
_atom_site_fract_y
_atom_site_fract_z
Pu1 Pu 0.007 0.277 0.034
Pu2 Pu 0.253 0.093 0.666
Pu3 Pu 0.287 0.563 0.637
Zn1 Zn 0.500 0.000 0.000
Pt1 Pt 0.249 0.694 0.332
Pt2 Pt 0.258 0.125 0.308
Pt3 Pt 0.500 0.500 0.000
# Energy relative to the elements (eV/atom): -0.605

***

No. 3
# Cu4Se5Cl PBE-GGA optimized geometry
data_Cu4Se5Cl
_cell_length_a 7.510
_cell_length_b 11.138
_cell_length_c 4.922
_cell_angle_alpha 90.00
_cell_angle_beta 90.00
_cell_angle_gamma 90.00
_space_group_name_H-M_alt 'P m m n'
_space_group_IT_number 59
loop_
_space_group_symop_operation_xyz
'x,y,z'
'-x,-y,-z'
'-x+1/2,-y+1/2,z'
'x+1/2,y+1/2,-z'
'x+1/2,-y,-z'
'-x+1/2,y,z'
'-x,y+1/2,-z'
'x,-y+1/2,z'
loop_
_atom_site_label
_atom_site_type_symbol
_atom_site_fract_x
_atom_site_fract_y
_atom_site_fract_z
Cu1 Cu 0.012 0.250 0.028
Cu2 Cu 0.250 0.538 0.516
Se1 Se 0.007 0.061 0.795
Se2 Se 0.250 0.750 0.702
Cl1 Cl 0.250 0.250 0.322
# ΔE_f (raw) (meV/atom): -157

***

No. 4
# Tl2PbAu PBE-GGA optimized geometry
data_Tl2PbAu
_cell_length_a 4.426
_cell_length_b 4.426
_cell_length_c 23.489
_cell_angle_alpha 90.00
_cell_angle_beta 90.00
_cell_angle_gamma 90.00
_space_group_name_H-M_alt 'I -4 2 d'
_space_group_IT_number 122
_space_group_name_Hall 'I -4 2bw'
loop_
_atom_site_label
_atom_site_type_symbol
_atom_site_fract_x
_atom_site_fract_y
_atom_site_fract_z
Tl1 Tl 0.241 0.250 0.125
Pb1 Pb 0.000 0.000 0.500
Au1 Au 0.000 0.000 0.000
# Energy relative to the elements (eV/atom): 0.079

***

No. 5
# Sc2TiAg PBE-GGA optimized geometry
data_Sc2TiAg
_cell_length_a 3.0558
_cell_length_b 3.0558
_cell_length_c 31.1778
_cell_angle_alpha 90.00
_cell_angle_beta 90.00
_cell_angle_gamma 120.00
_space_group_name_H-M_alt 'R -3 m'
_space_group_IT_number 166
_space_group_name_Hall '-R 3 2"'
loop_
_atom_site_label
_atom_site_type_symbol
_atom_site_fract_x
_atom_site_fract_y
_atom_site_fract_z
Sc1 Sc 0.0000 0.0000 0.0876
Ti1 Ti 0.0000 0.0000 0.0000
Ag1 Ag 0.0000 0.0000 0.5000
# Energy relative to the elements (eV/atom): 0.281

***

No. 6
# NdAl3GaPd PBE-GGA optimized geometry
data_NdAl3GaPd
_cell_length_a 5.854
_cell_length_b 14.233
_cell_length_c 5.669
_cell_angle_alpha 90.00
_cell_angle_beta 90.00
_cell_angle_gamma 90.00
_space_group_name_H-M_alt 'C m c m'
_space_group_IT_number 63
_space_group_name_Hall '-C 2c 2'
loop_
_atom_site_label
_atom_site_type_symbol
_atom_site_fract_x
_atom_site_fract_y
_atom_site_fract_z
Nd1 Nd 0.000 0.194 0.250
Al1 Al 0.000 0.370 0.750
Al2 Al 0.225 0.000 0.000
Ga1 Ga 0.000 0.146 0.750
Pd1 Pd 0.000 0.400 0.250
# Energy relative to the elements (eV/atom): -0.415

***

No. 7
# LiSnWSe2 PBE-GGA optimized geometry
data_LiSnWSe2
_cell_length_a 4.506
_cell_length_b 4.506
_cell_length_c 4.779
_cell_angle_alpha 90.00
_cell_angle_beta 90.00
_cell_angle_gamma 90.00
_space_group_name_H-M_alt 'P 4/m m m'
_space_group_IT_number 123
_space_group_name_Hall '-P 4 2'
loop_
_atom_site_label
_atom_site_type_symbol
_atom_site_fract_x
_atom_site_fract_y
_atom_site_fract_z
Li1 Li 0.000 0.000 0.000
Sn1 Sn 0.500 0.500 0.500
W1 W 0.000 0.000 0.500
Se1 Se 0.000 0.500 0.000
# ΔE_f (raw) (meV/atom): 923

***

No. 8
# Cs3SrGa PBE-GGA optimized geometry
data_Cs3SrGa
_cell_length_a 7.339
_cell_length_b 7.339
_cell_length_c 7.339
_cell_angle_alpha 90.00
_cell_angle_beta 90.00
_cell_angle_gamma 90.00
_space_group_name_H-M_alt 'P m -3 m'
_space_group_IT_number 221
_space_group_name_Hall '-P 4 2 3'
loop_
_atom_site_label
_atom_site_type_symbol
_atom_site_fract_x
_atom_site_fract_y
_atom_site_fract_z
Cs1 Cs 0.000 0.000 0.500
Sr1 Sr 0.500 0.500 0.500
Ga1 Ga 0.000 0.000 0.000
# Energy relative to the elements (eV/atom): 0.271

***

For each record above, in turn, the calculated energy values are -4.236 -10.394 -3.723 -2.851 -5.571 -4.451 -4.245 -1.183 eV per atom.